Entry from Alexandria via LeMat-Bulk: a geometry-optimized CrSbCI2 structure (PBE).

Summary:
- Symmetry: P4/mmm
- Formation energy without anion corrections: 1.76 eV/atom
- Total magnetic moment: 0.30 μB per cell
- Polymorph energy (0 for the lowest one): 153.0 meV/atom

Cell: 4.953 4.953 4.704 Å, 90.00 90.00 90.00°
Site moments in Bohr magnetons follow the coordinates.
Fractional positions:
1 I 0.000 0.500 0.000  -0.04
2 I 0.500 0.000 0.000  -0.04
3 Sb 0.000 0.000 0.500  -0.10
4 C 0.000 0.000 0.000  0.00
5 Cr 0.500 0.500 0.500  0.55